Compound: ReGe2PdSe
Source: the Alexandria database
Functional: PBE-GGA
Structure: optimized geometry

Cell: 5.0614 4.5592 5.0614 Å, 90.00 90.00 90.00°
Each line ends with the local moment (μB).
Positions (direct):
Ge  0.0000  0.0000  0.5000  0.01
Ge  0.5000  0.0000  0.0000  -0.03
Re  0.0000  0.5000  0.0000  1.19
Pd  0.5000  0.5000  0.5000  0.07
Se  0.0000  0.0000  0.0000  0.00

Properties
The crystal system is tetragonal. Its formation energy (no corrections) is 6.98 eV per formula unit. Its symmetry is P4/mmm (123). The density of states at the Fermi level is 0.819 states/eV/atom. As for the magnetic moment: 0.277 μB/atom. As for the calculated total energy: -23.38 eV per cell.



Compound: ReSiGe2Pd
Source: the Alexandria database
Functional: PBE-GGA
Structure: optimized geometry

Cell: 4.6874 4.4636 4.6874 Å, 90.00 90.00 90.00°
Each line ends with the local moment (μB).
Positions (direct):
Ge  0.5000  0.0000  0.0000  -0.07
Ge  0.0000  0.0000  0.5000  -0.03
Si  0.0000  0.0000  0.0000  0.04
Re  0.5000  0.5000  0.5000  2.69
Pd  0.0000  0.5000  0.0000  0.04

Properties
The crystal system is tetragonal. Its formation energy (no corrections) is 6.03 eV per formula unit. Its symmetry is P4/mmm (123). The density of states at the Fermi level is 0.566 states/eV/atom. As for the magnetic moment: 0.614 μB/atom. As for the calculated total energy: -26.27 eV per cell.



Compound: ZnReGePd2
Source: the Alexandria database
Functional: PBE-GGA
Structure: optimized geometry

Cell: 4.6114 4.5131 4.6114 Å, 90.00 90.00 90.00°
Each line ends with the local moment (μB).
Positions (direct):
Zn  0.0000  0.5000  0.0000  -0.03
Ge  0.0000  0.0000  0.0000  0.00
Re  0.5000  0.5000  0.5000  2.98
Pd  0.0000  0.0000  0.5000  0.04
Pd  0.5000  0.0000  0.0000  0.03

Properties
The crystal system is tetragonal. Its symmetry is P4/mmm (123). Its energy of formation from the pure elements is 1.09 eV/atom. The density of states at the Fermi level is 0.584 states/eV/atom. As for the magnetic moment: 0.683 μB/atom. As for the calculated total energy: -23.29 eV per cell.



Compound: GePdRh2
Source: the Alexandria database
Functional: PBE-GGA
Structure: optimized geometry

Cell: 3.7818 4.8114 7.2171 Å, 90.00 90.00 113.14°
Positions (direct):
Rh  0.6374  0.2748  0.4442
Rh  0.3626  0.7252  0.5558
Rh  0.3626  0.7252  0.9442
Rh  0.6374  0.2748  0.0558
Pd  0.0607  0.1215  0.7500
Pd  0.9393  0.8785  0.2500
Ge  0.2318  0.4636  0.2500
Ge  0.7682  0.5364  0.7500

Properties
The crystal system is orthorhombic. Its symmetry is Cmcm (63). Its energy of formation from the pure elements is -0.29 eV/atom. The density of states at the Fermi level is 1.219 states/eV/atom. As for the magnetic moment: 0.000 μB/atom. As for the calculated total energy: -51.31 eV per cell.



Compound: Ge2PdRh3
Source: the Alexandria database
Functional: PBE-GGA
Structure: optimized geometry

Cell: 4.0789 5.6296 7.6174 Å, 90.00 90.00 90.00°
Positions (direct):
Ge  0.5000  0.7247  0.8593
Ge  0.0000  0.7759  0.3497
Ge  0.5000  0.2247  0.1407
Ge  0.0000  0.2759  0.6503
Pd  0.5000  0.0300  0.4503
Pd  0.5000  0.5300  0.5497
Rh  0.5000  0.1616  0.8201
Rh  0.5000  0.6616  0.1799
Rh  0.0000  0.8363  0.6774
Rh  0.0000  0.9714  0.0486
Rh  0.0000  0.3363  0.3226
Rh  0.0000  0.4714  0.9514

Properties
The crystal system is orthorhombic. Its symmetry is Pmc2_1 (26). Its energy of formation from the pure elements is -0.48 eV/atom. The density of states at the Fermi level is 0.861 states/eV/atom. As for the magnetic moment: 0.000 μB/atom. As for the calculated total energy: -78.73 eV per cell.



Compound: Ge2PdRh3
Source: the Alexandria database
Functional: PBE-GGA
Structure: optimized geometry

Cell: 5.8847 5.8484 7.0715 Å, 114.43 114.59 90.00°
Positions (direct):
Rh  0.2254  0.9754  0.4509
Rh  0.5000  0.2500  0.0000
Rh  0.2254  0.4754  0.4509
Rh  0.7746  0.0246  0.5491
Rh  0.7746  0.5246  0.5491
Rh  0.5000  0.7500  0.0000
Pd  0.0000  0.0000  0.0000
Pd  0.0000  0.5000  0.0000
Ge  0.5540  0.3588  0.7175
Ge  0.4460  0.6412  0.2825
Ge  0.1636  0.8588  0.7175
Ge  0.8364  0.1412  0.2825

Properties
The crystal system is orthorhombic. Its symmetry is Ibam (72). Its energy of formation from the pure elements is -0.33 eV/atom. The density of states at the Fermi level is 0.563 states/eV/atom. As for the magnetic moment: 0.000 μB/atom. As for the calculated total energy: -76.90 eV per cell.